AcTb6Sm2Y3 | GGA-PBE | relaxed

Computed properties:
ΔE_f = 34 kJ/mol of formula units
symmetry = C2/m (12)
DOS at the Fermi energy = 16.5 states/eV/cell

Geometry as CIF:
```
data_AcTb6Sm2Y3
_chemical_formula_sum 'Ac1 Tb6 Sm2 Y3'
_space_group_name_H-M_alt 'P 1'
_space_group_IT_number 1
_cell_length_a 6.259
_cell_length_b 6.259
_cell_length_c 11.955
_cell_angle_alpha 94.98
_cell_angle_beta 94.98
_cell_angle_gamma 119.96
loop_
_space_group_symop_operation_xyz
'x,y,z'
loop_
_atom_site_label
_atom_site_fract_x
_atom_site_fract_y
_atom_site_fract_z
Ac1 0.000 0.000 0.000
Tb1 0.914 0.579 0.745
Tb2 0.750 0.750 0.255
Tb3 0.086 0.421 0.255
Tb4 0.579 0.914 0.745
Tb5 0.250 0.250 0.745
Tb6 0.421 0.086 0.255
Sm1 0.333 0.667 0.000
Sm2 0.667 0.333 0.000
Y1 0.167 0.833 0.500
Y2 0.833 0.167 0.500
Y3 0.500 0.500 0.500
```

AcTbSm2Y2 | GGA-PBE | relaxed

Computed properties:
ΔE_f = 168 kJ/mol of formula units
symmetry = Pnnm (58)
DOS at the Fermi energy = 21.4 states/eV/cell

Geometry as CIF:
```
data_AcTbSm2Y2
_chemical_formula_sum 'Ac2 Tb2 Sm4 Y4'
_space_group_name_H-M_alt 'P 1'
_space_group_IT_number 1
_cell_length_a 3.499
_cell_length_b 6.642
_cell_length_c 18.317
_cell_angle_alpha 90.00
_cell_angle_beta 90.00
_cell_angle_gamma 90.00
loop_
_space_group_symop_operation_xyz
'x,y,z'
loop_
_atom_site_label
_atom_site_fract_x
_atom_site_fract_y
_atom_site_fract_z
Ac1 0.000 0.000 0.000
Ac2 0.500 0.500 0.500
Tb1 0.500 0.500 0.000
Tb2 0.000 0.000 0.500
Sm1 0.500 0.196 0.351
Sm2 0.000 0.696 0.149
Sm3 0.500 0.804 0.649
Sm4 0.000 0.304 0.851
Y1 0.500 0.700 0.311
Y2 0.500 0.300 0.689
Y3 0.000 0.800 0.811
Y4 0.000 0.200 0.189
```

AcTb2Sm3Y6 | GGA-PBE | relaxed

Computed properties:
ΔE_f = 27 kJ/mol of formula units
symmetry = C2/m (12)
DOS at the Fermi energy = 15.4 states/eV/cell

Geometry as CIF:
```
data_AcTb2Sm3Y6
_chemical_formula_sum 'Ac1 Tb2 Sm3 Y6'
_space_group_name_H-M_alt 'P 1'
_space_group_IT_number 1
_cell_length_a 6.271
_cell_length_b 6.271
_cell_length_c 11.937
_cell_angle_alpha 95.01
_cell_angle_beta 95.01
_cell_angle_gamma 119.98
loop_
_space_group_symop_operation_xyz
'x,y,z'
loop_
_atom_site_label
_atom_site_fract_x
_atom_site_fract_y
_atom_site_fract_z
Ac1 0.000 0.000 0.000
Tb1 0.333 0.667 0.000
Tb2 0.667 0.333 0.000
Sm1 0.167 0.833 0.500
Sm2 0.833 0.167 0.500
Sm3 0.500 0.500 0.500
Y1 0.915 0.579 0.748
Y2 0.749 0.749 0.253
Y3 0.085 0.421 0.252
Y4 0.579 0.915 0.748
Y5 0.251 0.251 0.747
Y6 0.421 0.085 0.252
```

AcTbSmZn | GGA-PBE | relaxed

Computed properties:
polymorph energy (0 for the lowest one) = 0.291 eV per atom
ΔE_f = 64 kJ/mol of formula units
symmetry = F-43m (216)
DOS at the Fermi energy = 6.1 states/eV/cell

Geometry as CIF:
```
data_AcTbSmZn
_chemical_formula_sum 'Ac1 Tb1 Sm1 Zn1'
_space_group_name_H-M_alt 'P 1'
_space_group_IT_number 1
_cell_length_a 5.568
_cell_length_b 5.568
_cell_length_c 5.568
_cell_angle_alpha 60.00
_cell_angle_beta 60.00
_cell_angle_gamma 60.00
loop_
_space_group_symop_operation_xyz
'x,y,z'
loop_
_atom_site_label
_atom_site_fract_x
_atom_site_fract_y
_atom_site_fract_z
Ac1 0.500 0.500 0.500
Tb1 0.750 0.750 0.750
Zn1 0.000 0.000 0.000
Sm1 0.250 0.250 0.250
```

AcTbSmZn | GGA-PBE | relaxed

Computed properties:
polymorph energy (0 for the lowest one) = 0.000 eV per atom
ΔE_f = -48 kJ/mol of formula units
symmetry = P4mm (99)
DOS at the Fermi energy = 5.9 states/eV/cell

Geometry as CIF:
```
data_AcTbSmZn
_chemical_formula_sum 'Ac1 Tb1 Sm1 Zn1'
_space_group_name_H-M_alt 'P 1'
_space_group_IT_number 1
_cell_length_a 3.705
_cell_length_b 3.705
_cell_length_c 8.981
_cell_angle_alpha 90.00
_cell_angle_beta 90.00
_cell_angle_gamma 90.00
loop_
_space_group_symop_operation_xyz
'x,y,z'
loop_
_atom_site_label
_atom_site_fract_x
_atom_site_fract_y
_atom_site_fract_z
Ac1 0.000 0.000 0.067
Tb1 0.500 0.500 0.764
Sm1 0.500 0.500 0.376
Zn1 0.000 0.000 0.577
```

AcSm2Tc | GGA-PBE | relaxed

Computed properties:
polymorph energy (0 for the lowest one) = 0.092 eV per atom
ΔE_f = 48 kJ/mol of formula units
symmetry = P4/mmm (123)
DOS at the Fermi energy = 7.2 states/eV/cell

Geometry as CIF:
```
data_AcSm2Tc
_chemical_formula_sum 'Ac1 Sm2 Tc1'
_space_group_name_H-M_alt 'P 1'
_space_group_IT_number 1
_cell_length_a 3.579
_cell_length_b 3.579
_cell_length_c 9.518
_cell_angle_alpha 90.00
_cell_angle_beta 90.00
_cell_angle_gamma 90.00
loop_
_space_group_symop_operation_xyz
'x,y,z'
loop_
_atom_site_label
_atom_site_fract_x
_atom_site_fract_y
_atom_site_fract_z
Ac1 0.500 0.500 0.500
Tc1 0.500 0.500 0.000
Sm1 0.000 0.000 0.825
Sm2 0.000 0.000 0.175
```

AcSm2Tc | GGA-PBE | relaxed

Computed properties:
polymorph energy (0 for the lowest one) = 0.000 eV per atom
ΔE_f = 12 kJ/mol of formula units
symmetry = P2_1/m (11)
DOS at the Fermi energy = 7.5 states/eV/cell

Geometry as CIF:
```
data_AcSm2Tc
_chemical_formula_sum 'Ac2 Sm4 Tc2'
_space_group_name_H-M_alt 'P 1'
_space_group_IT_number 1
_cell_length_a 4.130
_cell_length_b 6.673
_cell_length_c 9.455
_cell_angle_alpha 90.00
_cell_angle_beta 90.00
_cell_angle_gamma 108.01
loop_
_space_group_symop_operation_xyz
'x,y,z'
loop_
_atom_site_label
_atom_site_fract_x
_atom_site_fract_y
_atom_site_fract_z
Ac1 0.427 0.854 0.250
Ac2 0.573 0.146 0.750
Sm1 0.152 0.304 0.428
Sm2 0.848 0.696 0.572
Sm3 0.848 0.696 0.928
Sm4 0.152 0.304 0.072
Tc1 0.758 0.515 0.250
Tc2 0.242 0.485 0.750
```

Ac3SmTc | GGA-PBE | relaxed

Computed properties:
ΔE_f = 88 kJ/mol of formula units
symmetry = Pm-3m (221)
DOS at the Fermi energy = 6.6 states/eV/cell

Geometry as CIF:
```
data_Ac3SmTc
_chemical_formula_sum 'Ac3 Sm1 Tc1'
_space_group_name_H-M_alt 'P 1'
_space_group_IT_number 1
_cell_length_a 5.765
_cell_length_b 5.765
_cell_length_c 5.765
_cell_angle_alpha 90.00
_cell_angle_beta 90.00
_cell_angle_gamma 90.00
loop_
_space_group_symop_operation_xyz
'x,y,z'
loop_
_atom_site_label
_atom_site_fract_x
_atom_site_fract_y
_atom_site_fract_z
Ac1 0.000 0.500 0.000
Ac2 0.000 0.000 0.500
Ac3 0.500 0.000 0.000
Tc1 0.000 0.000 0.000
Sm1 0.500 0.500 0.500
```

AcSm2Tc | GGA-PBE | relaxed

Computed properties:
polymorph energy (0 for the lowest one) = 0.311 eV per atom
ΔE_f = 132 kJ/mol of formula units
symmetry = R-3m (166)
DOS at the Fermi energy = 5.0 states/eV/cell

Geometry as CIF:
```
data_AcSm2Tc
_chemical_formula_sum 'Ac1 Sm2 Tc1'
_space_group_name_H-M_alt 'P 1'
_space_group_IT_number 1
_cell_length_a 3.615
_cell_length_b 3.615
_cell_length_c 11.510
_cell_angle_alpha 80.97
_cell_angle_beta 80.97
_cell_angle_gamma 60.00
loop_
_space_group_symop_operation_xyz
'x,y,z'
loop_
_atom_site_label
_atom_site_fract_x
_atom_site_fract_y
_atom_site_fract_z
Ac1 0.000 0.000 0.000
Tc1 0.500 0.500 0.500
Sm1 0.108 0.108 0.675
Sm2 0.892 0.892 0.325
```

AcSm4Tc | GGA-PBE | relaxed

Computed properties:
ΔE_f = 33 kJ/mol of formula units
symmetry = C2/c (15)
DOS at the Fermi energy = 16.2 states/eV/cell

Geometry as CIF:
```
data_AcSm4Tc
_chemical_formula_sum 'Ac2 Sm8 Tc2'
_space_group_name_H-M_alt 'P 1'
_space_group_IT_number 1
_cell_length_a 6.340
_cell_length_b 8.211
_cell_length_c 8.211
_cell_angle_alpha 104.67
_cell_angle_beta 100.02
_cell_angle_gamma 100.02
loop_
_space_group_symop_operation_xyz
'x,y,z'
loop_
_atom_site_label
_atom_site_fract_x
_atom_site_fract_y
_atom_site_fract_z
Ac1 0.750 0.602 0.398
Ac2 0.250 0.398 0.602
Sm1 0.880 0.659 0.848
Sm2 0.053 0.937 0.267
Sm3 0.620 0.152 0.341
Sm4 0.447 0.733 0.063
Sm5 0.553 0.267 0.937
Sm6 0.380 0.848 0.659
Sm7 0.947 0.063 0.733
Sm8 0.120 0.341 0.152
Tc1 0.250 0.998 0.002
Tc2 0.750 0.002 0.998
```

| no. | spin magnetization (μB per formula unit) |
| --- | --- |
| 1 | 0.0 |
| 2 | 0.0 |
| 3 | 0.0 |
| 4 | 0.0 |
| 5 | 0.0 |
| 6 | 0.0 |
| 7 | 0.0 |
| 8 | 0.0 |
| 9 | 0.0 |
| 10 | 0.0 |